CdCuRh2: optimized geometry, PBE-GGA.

abc: 7.1748 7.1748 5.1610
angles: 90.00 90.00 90.00
With the nearest neighbours (Å) after each atom.
Space group I-42d (No. 122)
Inequivalent atoms, fractional coordinates:
Cd  0.0000  0.0000  0.0000 x4  2 Cu 2.58, 4 Rh 2.80
Cu  0.0000  0.0000  0.5000 x4  4 Rh 2.44, 2 Cd 2.58
Rh  0.2133  0.2500  0.6250 x8  2 Cu 2.44, 2 Rh 2.63

Results
D(E_F) = 26.119 states/eV per cell
Total magnetization = 0.00 μB/atom
V = 16.6 Å³ per atom
DFT formation energy = 0.425 eV/atom



CdCuRh2: optimized geometry, PBE-GGA.

abc: 3.9688 3.9688 7.7038
angles: 90.00 90.00 90.00
With the nearest neighbours (Å) after each atom.
Space group I-4m2 (No. 119)
Inequivalent atoms, fractional coordinates:
Cd  0.0000  0.0000  0.0000 x2  4 Cu 2.77, 8 Rh 2.77-2.81
Cu  0.0000  0.5000  0.7500 x2  4 Cd 2.77, 8 Rh 2.77-2.81
Rh  0.0000  0.0000  0.5000 x2  4 Cu 2.77, 4 Rh 2.77, 4 Cd 2.81
Rh  0.0000  0.5000  0.2500 x2  4 Cd 2.77, 4 Rh 2.77, 4 Cu 2.81

Results
D(E_F) = 10.849 states/eV per cell
Total magnetization = 0.19 μB/atom
V = 15.2 Å³ per atom
DFT formation energy = 0.074 eV/atom



CdCu2Rh: optimized geometry, PBE-GGA.

abc: 2.9977 4.5298 8.7902
angles: 90.00 90.00 90.00
With the nearest neighbours (Å) after each atom.
Space group Cmmm (No. 65)
Inequivalent atoms, fractional coordinates:
Cd  0.0000  0.0000  0.0000 x2  6 Cd 2.72-3.00, 4 Cu 2.76
Cu  0.0000  0.5000  0.2632 x4  2 Rh 2.57, 4 Cu 2.72, 2 Cd 2.76
Rh  0.0000  0.0000  0.5000 x2  4 Cu 2.57, 4 Rh 2.72

Results
D(E_F) = 6.494 states/eV per cell
Total magnetization = 0.06 μB/atom
V = 14.9 Å³ per atom
DFT formation energy = 0.185 eV/atom



CdCuRh2: optimized geometry, PBE-GGA.

abc: 2.9280 4.5913 9.0844
angles: 90.00 90.00 90.00
With the nearest neighbours (Å) after each atom.
Space group Imm2 (No. 44)
Inequivalent atoms, fractional coordinates:
Cd  0.0000  0.0000  0.0000 x2  2 Cu 2.72, 6 Rh 2.72-2.84, 2 Cd 2.93
Cu  0.0000  0.5000  0.7522 x2  6 Rh 2.61-2.73, 2 Cd 2.72
Rh  0.0000  0.0000  0.4897 x2  2 Cu 2.61, 2 Rh 2.64, 4 Cd 2.72
Rh  0.0000  0.5000  0.2319 x2  4 Rh 2.64-2.93, 4 Cu 2.73, 2 Cd 2.84

Results
D(E_F) = 11.519 states/eV per cell
Total magnetization = 0.00 μB/atom
V = 15.3 Å³ per atom
DFT formation energy = 0.109 eV/atom



CdCuRh2: optimized geometry, PBE-GGA.

abc: 9.0457 2.8288 4.8400
angles: 90.00 100.56 90.00
With the nearest neighbours (Å) after each atom.
Space group Cm (No. 8)
Inequivalent atoms, fractional coordinates:
Cd  0.0000  0.0000  0.0000 x2  3 Cu 2.67-2.76, 7 Rh 2.80-2.88, 2 Cd 2.83
Cu  0.2547  0.5000  0.2340 x2  3 Cd 2.67-2.76, 7 Rh 2.68-2.94, 2 Cu 2.83
Rh  0.2424  0.0000  0.6987 x2  5 Rh 2.65-2.83, 4 Cu 2.68-2.94, 3 Cd 2.85-2.88
Rh  0.4992  0.0000  0.4984 x2  5 Rh 2.65-2.83, 3 Cu 2.74-2.84, 4 Cd 2.80-2.81

Results
D(E_F) = 8.329 states/eV per cell
Total magnetization = 0.00 μB/atom
V = 15.2 Å³ per atom
DFT formation energy = 0.051 eV/atom



CdCu2Rh: optimized geometry, PBE-GGA.

abc: 3.2101 4.2878 8.4628
angles: 90.00 90.00 90.00
With the nearest neighbours (Å) after each atom.
Space group Imm2 (No. 44)
Inequivalent atoms, fractional coordinates:
Cd  0.0000  0.0000  0.0000 x2  8 Cu 2.68-2.98, 4 Rh 2.78-2.90
Cu  0.0000  0.0000  0.4803 x2  2 Cu 2.49, 2 Rh 2.66, 4 Cd 2.68
Cu  0.0000  0.5000  0.7547 x2  2 Cu 2.49, 4 Rh 2.69, 2 Cd 2.69
Rh  0.0000  0.5000  0.2314 x2  6 Cu 2.66-2.69, 4 Cd 2.78-2.90

Results
D(E_F) = 3.576 states/eV per cell
Total magnetization = 0.00 μB/atom
V = 14.6 Å³ per atom
DFT formation energy = 0.037 eV/atom



Cd2CuRh2: optimized geometry, PBE-GGA.

abc: 3.5909 3.5909 14.4710
angles: 90.00 90.00 90.00
With the nearest neighbours (Å) after each atom.
Space group I4/mmm (No. 139)
Inequivalent atoms, fractional coordinates:
Cd  0.0000  0.0000  0.0978 x4  1 Cd 2.83, 4 Rh 2.84, 4 Cu 2.91
Cu  0.0000  0.0000  0.5000 x2  8 Cd 2.91
Rh  0.0000  0.5000  0.2500 x4  4 Rh 2.54, 4 Cd 2.84

Results
D(E_F) = 10.127 states/eV per cell
Total magnetization = 0.18 μB/atom
E above lowest polymorph = 1.59 eV/f.u.
V = 18.7 Å³ per atom
DFT formation energy = 0.369 eV/atom



CdCuRh2: optimized geometry, PBE-GGA.

abc: 2.8246 2.8246 7.5999
angles: 90.00 90.00 90.00
With the nearest neighbours (Å) after each atom.
Space group P4mm (No. 99)
Inequivalent atoms, fractional coordinates:
Cd  0.0000  0.0000  0.0000 x1  4 Cd 2.82, 4 Cu 2.83, 4 Rh 2.89
Cu  0.5000  0.5000  0.2633 x1  4 Rh 2.65, 4 Cu 2.82, 4 Cd 2.83
Rh  0.0000  0.0000  0.4924 x1  4 Cu 2.65, 8 Rh 2.66-2.82
Rh  0.5000  0.5000  0.7243 x1  8 Rh 2.66-2.82, 4 Cd 2.89

Results
D(E_F) = 4.886 states/eV per cell
Total magnetization = 0.00 μB/atom
V = 15.2 Å³ per atom
DFT formation energy = 0.039 eV/atom



CdCu2Rh: optimized geometry, PBE-GGA.

abc: 3.7820 3.7820 18.2000
angles: 90.00 90.00 90.00
With the nearest neighbours (Å) after each atom.
Space group I-42d (No. 122)
Inequivalent atoms, fractional coordinates:
Cd  0.0000  0.0000  0.0000 x4  4 Cu 2.67, 4 Rh 2.67
Cu  0.2260  0.2500  0.6250 x8  4 Cu 2.55-2.81, 2 Rh 2.61, 2 Cd 2.67
Rh  0.0000  0.0000  0.5000 x4  4 Cu 2.61, 4 Cd 2.67

Results
D(E_F) = 11.061 states/eV per cell
Total magnetization = 0.00 μB/atom
V = 16.3 Å³ per atom
DFT formation energy = 0.328 eV/atom



CdCu2Rh: optimized geometry, PBE-GGA.

abc: 8.8661 2.9224 4.7077
angles: 90.00 102.33 90.00
With the nearest neighbours (Å) after each atom.
Space group C2/m (No. 12)
Inequivalent atoms, fractional coordinates:
Cd  0.0000  0.0000  0.0000 x2  6 Cu 2.75-2.78, 4 Rh 2.77, 2 Cd 2.92
Cu  0.2442  0.0000  0.7236 x4  2 Cu 2.58, 3 Rh 2.64-2.70, 3 Cd 2.75-2.78
Rh  0.0000  0.5000  0.5000 x2  6 Cu 2.64-2.70, 4 Cd 2.77, 2 Rh 2.92

Results
D(E_F) = 6.071 states/eV per cell
Total magnetization = 0.00 μB/atom
V = 14.9 Å³ per atom
DFT formation energy = 0.056 eV/atom



CdCu2Rh: optimized geometry, PBE-GGA.

abc: 2.9518 4.6003 8.7584
angles: 90.00 90.00 90.00
With the nearest neighbours (Å) after each atom.
Space group Cmm2 (No. 35)
Inequivalent atoms, fractional coordinates:
Cd  0.0000  0.0000  0.0000 x2  6 Cd 2.73-2.95, 2 Cu 2.75, 2 Rh 2.79
Cu  0.0000  0.0000  0.4903 x2  6 Cu 2.46-2.73, 2 Rh 2.56
Cu  0.0000  0.5000  0.2656 x2  6 Cu 2.46-2.73, 2 Cd 2.75
Rh  0.0000  0.5000  0.7294 x2  2 Cu 2.56, 4 Rh 2.73, 2 Cd 2.79

Results
D(E_F) = 6.190 states/eV per cell
Total magnetization = 0.00 μB/atom
V = 14.9 Å³ per atom
DFT formation energy = 0.164 eV/atom



CdCuRh2: optimized geometry, PBE-GGA.

abc: 2.8679 4.5904 4.6338
angles: 90.00 90.00 90.00
With the nearest neighbours (Å) after each atom.
Space group Pmmm (No. 47)
Inequivalent atoms, fractional coordinates:
Cd  0.0000  0.0000  0.0000 x1  4 Rh 2.71, 4 Cu 2.72, 2 Cd 2.87
Cu  0.5000  0.0000  0.5000 x1  4 Rh 2.71, 4 Cd 2.72, 2 Cu 2.87
Rh  0.0000  0.5000  0.5000 x1  4 Cu 2.71, 6 Rh 2.72-2.87
Rh  0.5000  0.5000  0.0000 x1  4 Cd 2.71, 6 Rh 2.72-2.87

Results
D(E_F) = 5.687 states/eV per cell
Total magnetization = 0.00 μB/atom
V = 15.3 Å³ per atom
DFT formation energy = 0.116 eV/atom